A plane-wave DFT calculation with PBE-GGA was carried out for a relaxed TlAsPbO5 crystal.

## Properties
**Energy relative to the elements, uncorrected**: -1.1032 eV/atom
**Density of states at the Fermi level**: 0.00 states/eV/cell

Unit cell a=6.222 b=6.222 c=7.337 alpha=102.59 beta=102.59 gamma=108.60
Atoms (fractional coordinates):
O 0.905 0.095 0.750
O 0.416 0.259 0.070
Pb 0.328 0.672 0.250
O 0.259 0.416 0.570
Pb 0.672 0.328 0.750
O 0.584 0.741 0.930
As 0.678 0.322 0.250
O 0.095 0.905 0.250
O 0.339 0.892 0.628
O 0.108 0.661 0.872
As 0.322 0.678 0.750
Tl 0.000 0.000 0.500
Tl 0.000 0.000 0.000
O 0.661 0.108 0.372
O 0.741 0.584 0.430
O 0.892 0.339 0.128